A plane-wave DFT calculation with GGA-PBE was carried out for a relaxed structure of CsScNiSe3.

## Properties
Its total energy is -5.04 eV per atom. As for the crystal system: monoclinic. The density of states at the Fermi level is 2.4 states/eV/f.u. Its uncorrected formation energy is -1.133 eV/atom.

abc: 9.5719 3.9589 9.9873
angles: 90.00 114.41 90.00
Last column: nearest neighbours and their distance in Å.
Space group P2_1/m (No. 11)
One atom of each set of equivalent atoms:
Cs 0.2151 0.2500 0.2447 x2  7 Se 3.60-3.76, 2 Cs 3.96
Sc 0.3324 0.7500 0.8647 x2  6 Se 2.67-2.83
Ni 0.0770 0.2500 0.5981 x2  4 Se 2.35-2.40
Se 0.1335 0.2500 0.8554 x2  1 Ni 2.40
Se 0.1875 0.7500 0.5533 x2  3 Ni 2.35-2.37
Se 0.4801 0.7500 0.1570 x2  3 Sc 2.67-2.74